The following is a PBEsol calculation of a relaxed structure of Ba3Sc4Cu3O12, from Alexandria via LeMat-Bulk.

Cell: 9.374 9.374 9.374 Å, 101.43 101.43 127.14°
Fractional coordinates of all 44 atoms:
Ba 0.000 0.000 0.000
Ba 0.224 0.724 0.948
Ba 0.276 0.224 0.500
Ba 0.500 0.500 0.000
Ba 0.724 0.776 0.500
Ba 0.776 0.276 0.052
Sc 0.008 0.250 0.758
Sc 0.250 0.008 0.758
Sc 0.250 0.492 0.242
Sc 0.492 0.250 0.242
Sc 0.508 0.750 0.758
Sc 0.750 0.508 0.758
Sc 0.750 0.992 0.242
Sc 0.992 0.750 0.242
Cu 0.103 0.397 0.500
Cu 0.250 0.750 0.500
Cu 0.397 0.897 0.294
Cu 0.603 0.103 0.706
Cu 0.750 0.250 0.500
Cu 0.897 0.603 0.500
O 0.001 0.263 0.265
O 0.115 0.847 0.500
O 0.122 0.122 0.744
O 0.122 0.378 0.000
O 0.153 0.653 0.268
O 0.237 0.499 0.735
O 0.263 0.999 0.262
O 0.347 0.615 0.500
O 0.378 0.122 0.000
O 0.378 0.378 0.256
O 0.385 0.885 0.732
O 0.499 0.763 0.262
O 0.501 0.237 0.738
O 0.615 0.115 0.268
O 0.622 0.622 0.744
O 0.622 0.878 0.000
O 0.653 0.385 0.500
O 0.737 0.001 0.738
O 0.763 0.501 0.265
O 0.847 0.347 0.732
O 0.878 0.622 0.000
O 0.878 0.878 0.256
O 0.885 0.153 0.500
O 0.999 0.737 0.735

Uncorrected energy in eV/atom: -7.486
SG: I4/mcm, No. 140
Energy relative to the elements, uncorrected in eV per atom: -2.538